A plane-wave DFT calculation with GGA+U was carried out for a relaxed structure of FeGeF4.

Density: 3.73 g/cm³
Total moment: 8.02 Bohr magnetons per cell
ΔE to the lowest computed polymorph: 0.007 eV/atom
N(E_F): 0.00 states/eV/f.u.

a b c (Å): 5.832 5.689 5.483
angles (deg): 90.00 90.00 90.00
Fractional positions:
Fe 0.000 0.033 0.000
Fe 0.500 0.967 0.500
Ge 0.000 0.598 0.428
Ge 0.500 0.402 0.928
F 0.000 0.360 0.111
F 0.000 0.785 0.751
F 0.214 0.828 0.261
F 0.286 0.172 0.761
F 0.500 0.215 0.251
F 0.500 0.640 0.611
F 0.714 0.172 0.761
F 0.786 0.828 0.261